MnFe2Ni GGA-PBE relaxed; space group = No. 71; crystal system = orthorhombic; DFT formation energy = 0.08 eV per atom
1.0
-4.747 0.778 -0.542
-2.712 -3.523 -1.914
3.027 1.164 3.593
Fe Ni Mn
2 1 1
direct
0.005 0.005 0.000 Fe
0.495 0.495 0.000 Fe
0.250 0.750 0.500 Ni
0.750 0.250 0.500 Mn


Ce2Np3ScP6 GGA-PBE relaxed; space group = No. 12; crystal system = monoclinic; DFT formation energy = -1.16 eV per atom
1.0
-6.229 -2.499 1.544
2.581 -0.846 -6.329
3.928 -4.480 3.454
Ce Np P Sc
2 3 6 1
direct
0.334 0.666 0.000 Ce
0.666 0.334 0.000 Ce
0.500 0.500 0.500 Np
0.169 0.831 0.500 Np
0.831 0.169 0.500 Np
0.594 0.916 0.748 P
0.763 0.763 0.257 P
0.237 0.237 0.743 P
0.916 0.594 0.748 P
0.084 0.406 0.252 P
0.406 0.084 0.252 P
0.000 0.000 0.000 Sc


Li2HgSe GGA-PBE relaxed; ΔE_f (raw) = -413 meV per atom; space group = No. 216; crystal system = cubic; E above lowest polymorph = 399 meV per atom
1.0
4.923 0.000 0.000
2.462 4.263 0.000
2.462 1.421 4.020
Hg Li Se
1 2 1
direct
0.500 0.500 0.500 Hg
0.250 0.250 0.250 Li
0.000 0.000 0.000 Li
0.750 0.750 0.750 Se


Li2AlRe GGA-PBE relaxed; space group = No. 12; crystal system = monoclinic; DFT formation energy = 0.01 eV per atom
1.0
5.267 0.030 0.106
4.576 2.608 0.106
1.367 0.366 4.311
Al Re Li
1 1 2
direct
0.250 0.250 0.250 Al
0.750 0.750 0.750 Re
0.504 0.504 0.507 Li
0.996 0.996 0.993 Li


Number 1: N(E_F) 2.8 states/eV per cell, energy -7.8934 eV per atom. Number 2: N(E_F) 31.4 states/eV per cell, energy -8.6172 eV per atom. Number 3: N(E_F) 0.5 states/eV per cell, energy -2.3168 eV per atom. Number 4: N(E_F) 0.8 states/eV per cell, energy -4.9978 eV per atom.